The following is a DFT calculation (GGA-PBE) of crystalline B11C at its relaxed geometry.

```
B11C
1.0
-0.552 -1.288 -1.343
4.387 -2.421 0.519
-3.379 -4.833 6.027
B C
11 1
direct
0.000 0.771 0.341
0.500 0.470 0.342
0.000 0.976 0.170
0.000 0.976 0.830
0.000 0.767 0.000
0.000 0.771 0.659
0.000 0.006 0.500
0.500 0.476 0.000
0.500 0.269 0.833
0.500 0.269 0.167
0.500 0.470 0.658
0.500 0.280 0.500
```

Calculated values
ΔH_f (0 K) in eV/atom: 0.44
Calculated volume in Å³/cell: 82
Polymorph energy (0 for the lowest one) in meV/atom: 163
SG: Pmm2
Magnetic moment in μB per formula unit: 0.000